The following is a DFT calculation (GGA-PBE) of crystalline SrHfAu at its relaxed geometry. Values from VASP.

## Properties
**Energy above the lowest structure with this stoichiometry**: 0 meV/atom

Structure (Quantum ESPRESSO input):
```
&SYSTEM
  ibrav = 0, nat = 3, ntyp = 3
/
ATOMIC_SPECIES
Au 196.97 Au.upf
Hf 178.49 Hf.upf
Sr 87.62 Sr.upf
CELL_PARAMETERS angstrom
0.000 3.505 3.505
3.505 0.000 3.505
3.505 3.505 0.000
ATOMIC_POSITIONS crystal
Au 0.000 0.000 0.000
Hf 0.250 0.250 0.250
Sr 0.750 0.750 0.750
```